# 1
VASP calculation (PBE-GGA) on a relaxed Rb3SmY2Se6 crystal.

Cell lengths 7.3993, 12.8179, 8.3722 Å; angles 90.00, 107.14, 90.00 degrees
Space group C2/m (No. 12)
Asymmetric unit:
Rb 0.0000 0.0000 0.0000 x2
Rb 0.0000 0.3342 0.0000 x4
Sm 0.0000 0.5000 0.5000 x2
Y 0.0000 0.1668 0.5000 x4
Se 0.2278 0.0000 0.6968 x4
Se 0.2347 0.3311 0.6971 x8

Properties
* total energy: -124.8 eV/cell
* energy relative to the elements, uncorrected: -1.74 eV/atom

---

# 2
VASP calculation (PBE-GGA) on a relaxed Ba2YIr2 crystal.

Cell lengths 7.5369, 7.5369, 5.1289 Å; angles 90.00, 90.00, 90.00 degrees
Space group P4/mbm (No. 127)
Asymmetric unit:
Ba 0.1740 0.3260 0.0000 x4
Y 0.0000 0.0000 0.5000 x2
Ir 0.1185 0.6185 0.5000 x4

Properties
* total energy: -57.3 eV/cell

---

# 3
VASP calculation (PBE-GGA) on a relaxed CaLa5Al2Tl crystal.

Cell lengths 7.8206, 7.8206, 10.0120 Å; angles 90.00, 90.00, 90.00 degrees
Space group P4/mbm (No. 127)
Asymmetric unit:
Ca 0.0000 0.0000 0.0000 x2
La 0.0000 0.0000 0.5000 x2
La 0.1895 0.3105 0.2631 x8
Al 0.1142 0.6142 0.5000 x4
Tl 0.0000 0.5000 0.0000 x2

Properties
* total energy: -76.3 eV/cell

---

# 4
VASP calculation (PBE-GGA) on a relaxed CuTc2Sb crystal.

Cell lengths 3.0266, 3.6677, 5.6694 Å; angles 90.00, 90.00, 90.00 degrees
Space group Pmm2 (No. 25)
Asymmetric unit:
Cu 0.0000 0.0000 0.0000 x1
Tc 0.0000 0.0000 0.5407 x1
Tc 0.5000 0.5000 0.7655 x1
Sb 0.5000 0.5000 0.2563 x1

Properties
* total energy: -28.1 eV/cell
* energy relative to the elements, uncorrected: 0.22 eV/atom

---

# 5
VASP calculation (PBE-GGA) on a relaxed Tl5InF8 crystal.

Cell lengths 7.9110, 7.9110, 8.5973 Å; angles 90.00, 90.00, 90.00 degrees
Space group I-4 (No. 82)
Asymmetric unit:
Tl 0.0000 0.0000 0.0000 x2
Tl 0.1203 0.2648 0.3805 x8
In 0.0000 0.5000 0.7500 x2
F 0.0585 0.3383 0.9738 x8
F 0.0763 0.2465 0.6772 x8

Properties
* total energy: -113.7 eV/cell
* energy relative to the elements, uncorrected: -1.95 eV/atom

---

# 6
VASP calculation (PBE-GGA) on a relaxed Hf3VFe8 crystal.

Cell lengths 4.8814, 4.8814, 23.9476 Å; angles 90.00, 90.00, 120.00 degrees
Space group R3m (No. 160, hexagonal axes)
Asymmetric unit:
Hf 0.0000 0.0000 0.0000 x3
Hf 0.0000 0.0000 0.1274 x3
Hf 0.0000 0.0000 0.6209 x3
V 0.0000 0.0000 0.4981 x3
Fe 0.0000 0.0000 0.3120 x3
Fe 0.0000 0.0000 0.8121 x3
Fe 0.0002 0.5001 0.0629 x9
Fe 0.0007 0.5004 0.5609 x9

Properties
* total energy: -329.5 eV/cell

---

# 7
VASP calculation (PBE-GGA) on a relaxed Hf3AlOs crystal.

Cell lengths 4.9924, 4.9924, 4.9924 Å; angles 90.00, 90.00, 90.00 degrees
Space group Pm-3m (No. 221)
Asymmetric unit:
Hf 0.0000 0.0000 0.5000 x3
Al 0.5000 0.5000 0.5000 x1
Os 0.0000 0.0000 0.0000 x1

Properties
* total energy: -42.7 eV/cell
* energy above the most stable polymorph in this dataset: 0.000 eV per atom

---

# 8
VASP calculation (PBE-GGA) on a relaxed Ti3ReCl crystal.

Cell lengths 4.3698, 4.3698, 4.3698 Å; angles 90.00, 90.00, 90.00 degrees
Space group Pm-3m (No. 221)
Asymmetric unit:
Ti 0.0000 0.0000 0.5000 x3
Re 0.5000 0.5000 0.5000 x1
Cl 0.0000 0.0000 0.0000 x1

Properties
* total energy: -36.5 eV/cell
* energy relative to the elements, uncorrected: 0.29 eV/atom

---

# 9
VASP calculation (PBE-GGA) on a relaxed Mn8Au crystal.

Cell lengths 7.6413, 7.6413, 3.5755 Å; angles 90.00, 90.00, 90.00 degrees
Space group I4/mmm (No. 139)
Asymmetric unit:
Mn 0.0000 0.3436 0.0000 x8
Mn 0.1825 0.1825 0.5000 x8
Au 0.0000 0.0000 0.0000 x2

Properties
* total energy: -149.8 eV/cell

---

# 10
VASP calculation (PBE-GGA) on a relaxed CrBSe3 crystal.

Cell lengths 4.3934, 4.3934, 4.3934 Å; angles 90.00, 90.00, 90.00 degrees
Space group Pm-3m (No. 221)
Asymmetric unit:
Cr 0.0000 0.0000 0.0000 x1
B 0.5000 0.5000 0.5000 x1
Se 0.0000 0.5000 0.5000 x3

Properties
* total energy: -21.5 eV/cell
* energy relative to the elements, uncorrected: 1.04 eV/atom
* energy above the most stable polymorph in this dataset: 0.030 eV per atom

---

# 11
VASP calculation (PBE-GGA) on a relaxed SmPu2ScP4 crystal.

Cell lengths 6.8404, 3.9794, 6.8628 Å; angles 90.00, 109.69, 90.00 degrees
Space group P2/m (No. 10)
Asymmetric unit:
Sm 0.0000 0.0000 0.0000 x1
Pu 0.5000 0.0000 0.5000 x1
Pu 0.5000 0.5000 0.0000 x1
Sc 0.0000 0.5000 0.5000 x1
P 0.2463 0.0000 0.7395 x2
P 0.2536 0.5000 0.2631 x2

Properties
* total energy: -71.6 eV/cell

---

# 12
VASP calculation (PBE-GGA) on a relaxed Zr2SiSb crystal.

Cell lengths 4.5882, 4.5882, 7.7709 Å; angles 90.00, 90.00, 90.00 degrees
Space group I4/mmm (No. 139)
Asymmetric unit:
Zr 0.0000 0.5000 0.2500 x4
Si 0.0000 0.0000 0.0000 x2
Sb 0.0000 0.0000 0.5000 x2

Properties
* total energy: -56.4 eV/cell
* energy relative to the elements, uncorrected: -0.38 eV/atom
* energy above the most stable polymorph in this dataset: 0.289 eV per atom